# 1
This record from Alexandria via LeMat-Bulk describes a relaxed structure of LaH3Pt. The functional is PBE.

Values from the calculation:
Space-group type: No. 14
Theoretical density in g/cm³: 8.76
E_tot in eV for the cell shown: -95.57

Cell lengths 17.517, 5.843, 5.432 Å; angles 90.00, 152.65, 90.00 degrees
Fractional positions:
Pt 0.518 0.683 0.731
Pt 0.482 0.317 0.269
Pt 0.018 0.817 0.231
Pt 0.982 0.183 0.769
H 0.606 0.818 0.265
H 0.106 0.682 0.765
H 0.598 0.485 0.425
H 0.613 0.868 0.811
H 0.098 0.015 0.925
H 0.902 0.985 0.075
H 0.402 0.515 0.575
H 0.387 0.132 0.189
H 0.887 0.368 0.689
H 0.894 0.318 0.235
H 0.113 0.632 0.311
H 0.394 0.182 0.735
La 0.844 0.694 0.257
La 0.344 0.806 0.757
La 0.656 0.194 0.243
La 0.156 0.306 0.743



# 2
This record from Alexandria via LeMat-Bulk describes a relaxed structure of LiCa2TiB. The functional is PBE.

Values from the calculation:
Space-group type: No. 123
Theoretical density in g/cm³: 2.14
Formation energy from the elements in meV per atom: 956

Cell lengths 5.282, 4.052, 5.282 Å; angles 90.00, 90.00, 90.00 degrees
Each line ends with the local moment (μB).
Fractional positions:
Ti 0.500 0.500 0.500  1.68
Li 0.000 0.000 0.000  -0.06
Ca 0.000 0.000 0.500  0.06
Ca 0.500 0.000 0.000  0.04
B 0.000 0.500 0.000  -0.12



# 3
This record from Alexandria via LeMat-Bulk describes a relaxed structure of U2GeS. The functional is PBE.

Values from the calculation:
Uncorrected formation energy in eV/f.u.: -2.79
Space-group type: No. 166
Theoretical density in g/cm³: 10.74

Cell lengths 4.078, 4.078, 6.667 Å; angles 72.19, 72.19, 60.00 degrees
Each line ends with the local moment (μB).
Fractional positions:
S 0.500 0.500 0.500  -0.07
Ge 0.000 0.000 0.000  -0.08
U 0.756 0.756 0.732  2.04
U 0.244 0.244 0.268  2.04



# 4
This record from Alexandria via LeMat-Bulk describes a relaxed structure of PrEuGdMg. The functional is PBE.

Values from the calculation:
Space-group type: No. 216
Theoretical density in g/cm³: 6.08
Formation energy from the elements in meV per atom: 45

Cell lengths 5.681, 5.681, 5.681 Å; angles 60.00, 60.00, 60.00 degrees
Each line ends with the local moment (μB).
Fractional positions:
Pr 0.750 0.750 0.750  -0.05
Gd 0.250 0.250 0.250  7.09
Eu 0.500 0.500 0.500  -6.85
Mg 0.000 0.000 0.000  0.00